(1)
Cu4Bi: optimized geometry, PBE-GGA.

Output
- size of the total moment (μB per cell) = 0.000
- SG = Pm-3m
- VASP energy (eV per atom) = -2.97
- energy of formation (meV/atom) = 1088

Lattice parameters (Å, degrees): 4.944 4.944 4.944 90.00 90.00 90.00
Fractional coordinates of all 5 atoms:
Cu 0.500 0.500 0.000
Cu 0.500 0.000 0.500
Bi 0.500 0.500 0.500
Cu 0.000 0.500 0.500
Cu 0.000 0.000 0.000

=====

(2)
Ac2Zn3AgPd4: optimized geometry, PBE-GGA.

Output
- size of the total moment (μB per cell) = 0.000
- SG = P-4m2
- VASP energy (eV per atom) = -4.15
- energy of formation (meV/atom) = -588

Lattice parameters (Å, degrees): 4.369 4.369 11.021 90.00 90.00 90.00
Fractional coordinates of all 10 atoms:
Zn 0.000 0.000 0.500
Pd 0.500 0.500 0.000
Pd 0.500 0.000 0.649
Ac 0.500 0.000 0.244
Pd 0.000 0.500 0.351
Ag 0.500 0.500 0.500
Zn 0.000 0.500 0.120
Zn 0.500 0.000 0.880
Pd 0.000 0.000 0.000
Ac 0.000 0.500 0.756

=====

(3)
LiDy2H: optimized geometry, PBE-GGA.

Output
- size of the total moment (μB per cell) = 0.000
- SG = R-3m
- VASP energy (eV per atom) = -3.64

Lattice parameters (Å, degrees): 3.471 3.471 9.187 79.11 79.11 60.00
Fractional coordinates of all 4 atoms:
Dy 0.883 0.883 0.351
Dy 0.117 0.117 0.649
H 0.500 0.500 0.500
Li 0.000 0.000 0.000

=====

(4)
Ce2ErGa2Pd2: optimized geometry, PBE-GGA.

Output
- size of the total moment (μB per cell) = 0.000
- SG = R-3m
- VASP energy (eV per atom) = -5.38
- energy of formation (meV/atom) = -684

Lattice parameters (Å, degrees): 4.426 4.426 9.004 75.77 75.77 60.00
Fractional coordinates of all 7 atoms:
Pd 0.399 0.399 0.802
Ce 0.136 0.136 0.591
Pd 0.601 0.601 0.198
Ga 0.264 0.264 0.208
Ga 0.736 0.736 0.792
Er 0.000 0.000 0.000
Ce 0.864 0.864 0.409

=====

(5)
Ho2ThTl: optimized geometry, PBE-GGA.

Output
- size of the total moment (μB per cell) = 0.000
- SG = R3m
- VASP energy (eV per atom) = -4.82
- energy of formation (meV/atom) = -85

Lattice parameters (Å, degrees): 3.573 3.573 11.122 80.76 80.76 60.00
Fractional coordinates of all 4 atoms:
Tl 0.667 0.667 0.000
Ho 0.078 0.078 0.765
Th 0.500 0.500 0.500
Ho 0.255 0.255 0.235

=====

(6)
Li2IrCl: optimized geometry, PBE-GGA.

Output
- size of the total moment (μB per cell) = 0.416
- formation energy without anion corrections (eV/atom) = 0.002
- SG = I-4m2
- VASP energy (eV per atom) = -3.63

Lattice parameters (Å, degrees): 5.457 5.457 5.457 142.82 142.82 53.60
Each line ends with the local moment (μB).
Fractional coordinates of all 4 atoms:
Li 0.000 0.000 0.000  0.00
Li 0.250 0.750 0.500  -0.01
Cl 0.500 0.500 0.000  0.04
Ir 0.750 0.250 0.500  0.37

=====

(7)
Sc3Pa2Se6: optimized geometry, PBE-GGA.

Output
- size of the total moment (μB per cell) = 0.811
- formation energy without anion corrections (eV/atom) = -1.446
- SG = R-3m
- VASP energy (eV per atom) = -6.80

Lattice parameters (Å, degrees): 3.951 3.951 19.750 84.26 84.26 60.00
Each line ends with the local moment (μB).
Fractional coordinates of all 11 atoms:
Pa 0.558 0.558 0.326  0.39
Se 0.804 0.804 0.588  -0.01
Se 0.922 0.922 0.235  0.00
Sc 0.721 0.721 0.836  -0.02
Se 0.196 0.196 0.412  -0.01
Sc 0.000 0.000 0.000  -0.02
Se 0.640 0.640 0.079  0.00
Pa 0.442 0.442 0.674  0.39
Se 0.360 0.360 0.921  0.00
Se 0.078 0.078 0.765  0.00
Sc 0.279 0.279 0.164  -0.02

=====

(8)
CaTl2Cl: optimized geometry, PBE-GGA.

Output
- size of the total moment (μB per cell) = 0.000
- formation energy without anion corrections (eV/atom) = -0.521
- SG = F-43m
- VASP energy (eV per atom) = -2.67

Lattice parameters (Å, degrees): 5.407 5.407 5.407 60.00 60.00 60.00
Fractional coordinates of all 4 atoms:
Cl 0.750 0.750 0.750
Tl 0.250 0.250 0.250
Tl 0.000 0.000 0.000
Ca 0.500 0.500 0.500